Entry from the Alexandria database: a relaxed structure of CsIn3Fe (PBE).

## Properties
Crystal system   cubic
Electronic total energy   -1.782 eV/atom

Cell lengths 6.4625, 6.4625, 6.4625 Å; angles 90.00, 90.00, 90.00 degrees
Space group Pm-3m (No. 221)
Asymmetric unit:
Cs  0.0000  0.0000  0.0000 (multiplicity 1)
In  0.0000  0.0000  0.5000 (multiplicity 3)
Fe  0.5000  0.5000  0.5000 (multiplicity 1)

Entry from the Alexandria database: a relaxed structure of ZrUCoTc (PBE).

## Properties
Crystal system   cubic
Electronic total energy   -9.411 eV/atom

Cell lengths 6.5780, 6.5780, 6.5780 Å; angles 90.00, 90.00, 90.00 degrees
Space group F-43m (No. 216)
Asymmetric unit:
Zr  0.0000  0.0000  0.0000 (multiplicity 4)
U  0.0000  0.0000  0.5000 (multiplicity 4)
Co  0.2500  0.2500  0.7500 (multiplicity 4)
Tc  0.2500  0.2500  0.2500 (multiplicity 4)

Entry from the Alexandria database: a relaxed structure of ZrSi2Pt (PBE).

## Properties
Crystal system   orthorhombic
E_form (uncorrected)   -500 meV/atom

Cell lengths 4.0765, 5.2731, 6.3146 Å; angles 90.00, 90.00, 90.00 degrees
Space group Cmmm (No. 65)
Asymmetric unit:
Zr  0.0000  0.0000  0.0000 (multiplicity 2)
Si  0.0000  0.5000  0.2864 (multiplicity 4)
Pt  0.0000  0.0000  0.5000 (multiplicity 2)

What did the third record say?
Entry from the Alexandria database: a relaxed structure of ZrSi2Pt (PBE).

## Properties
Crystal system   orthorhombic
E_form (uncorrected)   -500 meV/atom

Cell lengths 4.0765, 5.2731, 6.3146 Å; angles 90.00, 90.00, 90.00 degrees
Space group Cmmm (No. 65)
Asymmetric unit:
Zr  0.0000  0.0000  0.0000 (multiplicity 2)
Si  0.0000  0.5000  0.2864 (multiplicity 4)
Pt  0.0000  0.0000  0.5000 (multiplicity 2)